# AsAu2Cl, relaxed, DFT GGA-PBE
data_AsAu2Cl
_chemical_formula_sum 'As2 Au4 Cl2'
_symmetry_space_group_name_H-M 'C m m m'
_symmetry_Int_Tables_number 65
_symmetry_space_group_name_Hall '-C 2 2'
_cell_length_a 3.543
_cell_length_b 6.127
_cell_length_c 7.918
_cell_angle_alpha 90.00
_cell_angle_beta 90.00
_cell_angle_gamma 90.00
loop_
_atom_site_label
_atom_site_fract_x
_atom_site_fract_y
_atom_site_fract_z
As1 0.000 0.000 0.000
Au1 0.000 0.500 0.239
Cl1 0.000 0.000 0.500
# DOS(E_F): 2.5 states/eV per cell
# Crystal system: orthorhombic
# Uncorrected formation energy: 17.4 kJ per mole of atoms
# Energy above the lowest structure with this stoichiometry: 0.87 eV/f.u.
# ρ: 9744 kg/m³
# DFT total energy: -12.33 eV per formula unit